No. 1
This record from Alexandria describes a relaxed structure of Cd2SnO4. The functional is PBE.

Lattice parameters (Å, degrees): 11.360 3.346 5.781 90.00 114.62 90.00
Fractional coordinates of all 14 atoms:
Cd 0.178 0.000 0.156
Cd 0.322 0.500 0.844
Cd 0.678 0.500 0.156
Cd 0.822 0.000 0.844
Sn 0.000 0.500 0.500
Sn 0.500 0.000 0.500
O 0.110 0.000 0.455
O 0.126 0.500 0.877
O 0.374 0.000 0.123
O 0.390 0.500 0.545
O 0.610 0.500 0.455
O 0.626 0.000 0.877
O 0.874 0.500 0.123
O 0.890 0.000 0.545

- energy above the most stable polymorph in this dataset (meV per atom) = 86
- space group = C2/m, No. 12
- total energy (eV for the cell shown) = -68.9
- formation energy without anion corrections (eV/atom) = -1.25

No. 2
This record from Alexandria describes a relaxed structure of Cd2SnO4. The functional is PBE.

Lattice parameters (Å, degrees): 6.598 6.598 6.598 60.00 60.00 60.00
Fractional coordinates of all 14 atoms:
Cd 0.000 0.000 0.000
Cd 0.000 0.000 0.500
Cd 0.000 0.500 0.000
Cd 0.500 0.000 0.000
Sn 0.375 0.375 0.375
Sn 0.625 0.625 0.625
O 0.251 0.251 0.251
O 0.251 0.251 0.748
O 0.251 0.748 0.251
O 0.252 0.749 0.749
O 0.748 0.251 0.251
O 0.749 0.252 0.749
O 0.749 0.749 0.252
O 0.749 0.749 0.749

- energy above the most stable polymorph in this dataset (meV per atom) = 118
- space group = Fd-3m, No. 227
- total energy (eV for the cell shown) = -68.4
- formation energy without anion corrections (eV/atom) = -1.22
- Fermi-level density of states (states/eV/atom) = 0.65

Question: Which value of energy above the most stable polymorph in this dataset does entry 1 give?
Answer: 86 meV per atom